Entry 1:
# Re2NiW (GGA-PBE, optimized geometry)
# formation enthalpy at 0 K = 0.4 eV per formula unit
# volume = 14.40 Å³ per atom
# N(E_F) = 7.15 states/eV/cell
# polymorph energy (0 for the lowest one) = 88 meV/atom
# SG = No. 139
# magnetization = 0.00 μB per cell
data_Re2NiW
_cell_length_a 3.890
_cell_length_b 3.890
_cell_length_c 7.612
_cell_angle_alpha 90.00
_cell_angle_beta 90.00
_cell_angle_gamma 90.00
_space_group_name_H-M_alt 'P 1'
_space_group_IT_number 1
loop_
_space_group_symop_operation_xyz
'x,y,z'
loop_
_atom_site_label
_atom_site_type_symbol
_atom_site_fract_x
_atom_site_fract_y
_atom_site_fract_z
_atom_site_occupancy
Re1 Re 0.000 0.500 0.250 1
Re2 Re 0.000 0.500 0.750 1
Re3 Re 0.500 0.000 0.250 1
Re4 Re 0.500 0.000 0.750 1
Ni1 Ni 0.000 0.000 0.000 1
Ni2 Ni 0.500 0.500 0.500 1
W1 W 0.000 0.000 0.500 1
W2 W 0.500 0.500 0.000 1



Entry 2:
# IrPb2Se (GGA-PBE, optimized geometry)
# volume = 33.01 Å³ per atom
# N(E_F) = 9.84 states/eV/cell
# uncorrected formation energy = 286 meV/atom
# SG = No. 122
# magnetization = 0.00 μB per cell
data_IrPb2Se
_cell_length_a 6.435
_cell_length_b 6.435
_cell_length_c 12.755
_cell_angle_alpha 90.00
_cell_angle_beta 90.00
_cell_angle_gamma 90.00
_space_group_name_H-M_alt 'P 1'
_space_group_IT_number 1
loop_
_space_group_symop_operation_xyz
'x,y,z'
loop_
_atom_site_label
_atom_site_type_symbol
_atom_site_fract_x
_atom_site_fract_y
_atom_site_fract_z
_atom_site_occupancy
Ir1 Ir 0.000 0.000 0.000 1
Ir2 Ir 0.000 0.500 0.250 1
Ir3 Ir 0.500 0.000 0.750 1
Ir4 Ir 0.500 0.500 0.500 1
Pb1 Pb 0.211 0.250 0.125 1
Pb2 Pb 0.250 0.711 0.375 1
Pb3 Pb 0.250 0.789 0.875 1
Pb4 Pb 0.289 0.250 0.625 1
Pb5 Pb 0.711 0.750 0.625 1
Pb6 Pb 0.750 0.211 0.875 1
Pb7 Pb 0.750 0.289 0.375 1
Pb8 Pb 0.789 0.750 0.125 1
Se1 Se 0.000 0.000 0.500 1
Se2 Se 0.000 0.500 0.750 1
Se3 Se 0.500 0.000 0.250 1
Se4 Se 0.500 0.500 0.000 1



Entry 3:
# NpCoTe (GGA-PBE, optimized geometry)
# volume = 21.72 Å³ per atom
# N(E_F) = 14.56 states/eV/cell
# uncorrected formation energy = -223 meV/atom
# polymorph energy (0 for the lowest one) = 16 meV/atom
# SG = No. 11
# magnetization = 6.39 μB per cell
data_NpCoTe
_cell_length_a 4.891
_cell_length_b 4.160
_cell_length_c 6.482
_cell_angle_alpha 90.00
_cell_angle_beta 98.85
_cell_angle_gamma 90.00
_space_group_name_H-M_alt 'P 1'
_space_group_IT_number 1
loop_
_space_group_symop_operation_xyz
'x,y,z'
loop_
_atom_site_label
_atom_site_type_symbol
_atom_site_fract_x
_atom_site_fract_y
_atom_site_fract_z
_atom_site_occupancy
Np1 Np 0.198 0.250 0.216 1
Np2 Np 0.802 0.750 0.784 1
Co1 Co 0.322 0.750 0.959 1
Co2 Co 0.678 0.250 0.041 1
Te1 Te 0.279 0.250 0.709 1
Te2 Te 0.721 0.750 0.291 1



Entry 4:
# RbLiI2 (GGA-PBE, optimized geometry)
# volume = 38.08 Å³ per atom
# N(E_F) = 0.00 states/eV/cell
# uncorrected formation energy = -1275 meV/atom
# SG = No. 160
# magnetization = 0.00 μB per cell
data_RbLiI2
_cell_length_a 4.613
_cell_length_b 4.613
_cell_length_c 24.797
_cell_angle_alpha 90.00
_cell_angle_beta 90.00
_cell_angle_gamma 120.00
_space_group_name_H-M_alt 'P 1'
_space_group_IT_number 1
loop_
_space_group_symop_operation_xyz
'x,y,z'
loop_
_atom_site_label
_atom_site_type_symbol
_atom_site_fract_x
_atom_site_fract_y
_atom_site_fract_z
_atom_site_occupancy
Rb1 Rb 0.000 0.000 0.000 1
Rb2 Rb 0.333 0.667 0.667 1
Rb3 Rb 0.667 0.333 0.333 1
Li1 Li 0.000 0.000 0.169 1
Li2 Li 0.333 0.667 0.835 1
Li3 Li 0.667 0.333 0.502 1
I1 I 0.000 0.000 0.567 1
I2 I 0.000 0.000 0.768 1
I3 I 0.333 0.667 0.233 1
I4 I 0.333 0.667 0.434 1
I5 I 0.667 0.333 0.101 1
I6 I 0.667 0.333 0.900 1



Entry 5:
# ZrZnRuAu (GGA-PBE, optimized geometry)
# formation enthalpy at 0 K = -1.1 eV per formula unit
# volume = 17.00 Å³ per atom
# N(E_F) = 12.17 states/eV/cell
# SG = No. 216
# magnetization = 0.00 μB per cell
data_ZrZnRuAu
_cell_length_a 6.479
_cell_length_b 6.479
_cell_length_c 6.479
_cell_angle_alpha 90.00
_cell_angle_beta 90.00
_cell_angle_gamma 90.00
_space_group_name_H-M_alt 'P 1'
_space_group_IT_number 1
loop_
_space_group_symop_operation_xyz
'x,y,z'
loop_
_atom_site_label
_atom_site_type_symbol
_atom_site_fract_x
_atom_site_fract_y
_atom_site_fract_z
_atom_site_occupancy
Zr1 Zr 0.000 0.000 0.000 1
Zr2 Zr 0.000 0.500 0.500 1
Zr3 Zr 0.500 0.000 0.500 1
Zr4 Zr 0.500 0.500 0.000 1
Zn1 Zn 0.000 0.000 0.500 1
Zn2 Zn 0.000 0.500 0.000 1
Zn3 Zn 0.500 0.000 0.000 1
Zn4 Zn 0.500 0.500 0.500 1
Ru1 Ru 0.250 0.250 0.250 1
Ru2 Ru 0.250 0.750 0.750 1
Ru3 Ru 0.750 0.250 0.750 1
Ru4 Ru 0.750 0.750 0.250 1
Au1 Au 0.250 0.250 0.750 1
Au2 Au 0.250 0.750 0.250 1
Au3 Au 0.750 0.250 0.250 1
Au4 Au 0.750 0.750 0.750 1



Entry 6:
# PuSc2Hg4 (GGA-PBE, optimized geometry)
# formation enthalpy at 0 K = -1.0 eV per formula unit
# volume = 25.44 Å³ per atom
# N(E_F) = 11.87 states/eV/cell
# SG = No. 123
# magnetization = 6.46 μB per cell
data_PuSc2Hg4
_cell_length_a 5.033
_cell_length_b 5.033
_cell_length_c 7.030
_cell_angle_alpha 90.00
_cell_angle_beta 90.00
_cell_angle_gamma 90.00
_space_group_name_H-M_alt 'P 1'
_space_group_IT_number 1
loop_
_space_group_symop_operation_xyz
'x,y,z'
loop_
_atom_site_label
_atom_site_type_symbol
_atom_site_fract_x
_atom_site_fract_y
_atom_site_fract_z
_atom_site_occupancy
Pu1 Pu 0.000 0.000 0.000 1
Sc1 Sc 0.000 0.000 0.500 1
Sc2 Sc 0.500 0.500 0.000 1
Hg1 Hg 0.000 0.500 0.275 1
Hg2 Hg 0.000 0.500 0.725 1
Hg3 Hg 0.500 0.000 0.275 1
Hg4 Hg 0.500 0.000 0.725 1